[1]
! NaPdSN2 GGA-PBE relaxed; values from VASP
&SYSTEM
  ibrav = 0, nat = 5, ntyp = 4
/
ATOMIC_SPECIES
N 14.01 N.upf
S 32.06 S.upf
Na 22.99 Na.upf
Pd 106.42 Pd.upf
CELL_PARAMETERS angstrom
-0.201 -1.955 -3.533
3.979 0.510 -0.509
0.879 -4.448 2.412
ATOMIC_POSITIONS angstrom
N -0.101 -0.978 -1.767
N 1.989 0.255 -0.255
S 0.440 -2.224 1.206
Na 2.328 -2.947 -0.815
Pd 0.000 0.000 0.000
! * E above lowest polymorph: 0.000 eV/atom
! * total magnetization: 0.7886 μB per atom
! * DFT total energy: -4.442 eV/atom
! * formation energy (no corrections): 1.016 eV per atom



[2]
! Nd2Ni3P4Rh GGA-PBE relaxed; values from VASP
&SYSTEM
  ibrav = 0, nat = 10, ntyp = 4
/
ATOMIC_SPECIES
P 30.97 P.upf
Rh 102.91 Rh.upf
Nd 144.24 Nd.upf
Ni 58.69 Ni.upf
CELL_PARAMETERS angstrom
4.080 0.000 0.000
0.000 4.080 0.000
0.000 0.000 9.323
ATOMIC_POSITIONS angstrom
P 0.000 0.000 0.000
P 2.040 0.000 5.932
P 2.040 2.040 0.000
P 0.000 2.040 3.391
Rh 2.040 2.040 4.662
Nd 0.000 2.040 7.070
Nd 2.040 0.000 2.253
Ni 0.000 2.040 1.050
Ni 0.000 0.000 4.662
Ni 2.040 0.000 8.273
! * total magnetization: 0.0002 μB per atom
! * DFT total energy: -6.589 eV/atom
! * formation enthalpy at 0 K: -1.002 eV/atom